A relaxed BaNiNO2 crystal. Source: Alexandria, functional GGA+U.

- total energy (eV/atom) = -5.12
- symmetry = P4/mmm

a b c (Å): 4.1573 4.1573 3.8632
angles (deg): 90.00 90.00 90.00
Positions (direct):
Ba: 0.0000 0.0000 0.0000
Ni: 0.5000 0.5000 0.5000
N: 0.5000 0.5000 0.0000
O: 0.0000 0.5000 0.5000
O: 0.5000 0.0000 0.5000